# GGA-PBE PrMgMo, relaxed
# Crystal system: cubic
# Raw total energy, eV/atom: -4.38
# Magnetic moment, μB/cell: 11.94
# Offset from the most stable computed form, eV/f.u.: 1.27
data_PrMgMo
_space_group_name_H-M_alt 'F -4 3 m'
_space_group_IT_number 216
_space_group_name_Hall 'F -4 2 3'
_cell_length_a 7.065
_cell_length_b 7.065
_cell_length_c 7.065
_cell_angle_alpha 90.00
_cell_angle_beta 90.00
_cell_angle_gamma 90.00
loop_
_atom_site_label
_atom_site_type_symbol
_atom_site_fract_x
_atom_site_fract_y
_atom_site_fract_z
Pr1 Pr 0.000 0.000 0.000
Mg1 Mg 0.250 0.250 0.750
Mo1 Mo 0.250 0.250 0.250